# 1
# SiRhSe2 (PBE-GGA, optimized geometry)
# - space group = Immm (71)
# - uncorrected formation energy (eV/atom) = -0.251
# - calculated volume (Å³/cell) = 82.8
data_SiRhSe2
_chemical_formula_sum 'Si1 Rh1 Se2'
_cell_length_a 6.7841
_cell_length_b 6.7841
_cell_length_c 6.7841
_cell_angle_alpha 148.06
_cell_angle_beta 149.84
_cell_angle_gamma 44.50
_symmetry_space_group_name_H-M 'P 1'
_symmetry_Int_Tables_number 1
loop_
_symmetry_equiv_pos_as_xyz
'x,y,z'
loop_
_atom_site_label
_atom_site_type_symbol
_atom_site_fract_x
_atom_site_fract_y
_atom_site_fract_z
Rh1 Rh 0.7500 0.2500 0.5000
Se1 Se 0.8920 0.8920 0.0000
Se2 Se 0.6080 0.6080 0.0000
Si1 Si 0.2500 0.7500 0.5000

=====

# 2
# SiRhSe2 (PBE-GGA, optimized geometry)
# - space group = Pmmm (47)
# - uncorrected formation energy (eV/atom) = 0.375
# - calculated volume (Å³/cell) = 68.1
data_SiRhSe2
_chemical_formula_sum 'Si1 Rh1 Se2'
_cell_length_a 3.1617
_cell_length_b 4.9108
_cell_length_c 4.3879
_cell_angle_alpha 90.00
_cell_angle_beta 90.00
_cell_angle_gamma 90.00
_symmetry_space_group_name_H-M 'P 1'
_symmetry_Int_Tables_number 1
loop_
_symmetry_equiv_pos_as_xyz
'x,y,z'
loop_
_atom_site_label
_atom_site_type_symbol
_atom_site_fract_x
_atom_site_fract_y
_atom_site_fract_z
Rh1 Rh 0.0000 0.5000 0.5000
Se1 Se 0.0000 0.0000 0.0000
Se2 Se 0.5000 0.5000 0.0000
Si1 Si 0.5000 0.0000 0.5000

=====

# 3
# SiRhSe2 (PBE-GGA, optimized geometry)
# - space group = Cm (8)
# - uncorrected formation energy (eV/atom) = -0.170
# - calculated volume (Å³/cell) = 86.6
data_SiRhSe2
_chemical_formula_sum 'Si1 Rh1 Se2'
_cell_length_a 4.2608
_cell_length_b 4.2608
_cell_length_c 6.1972
_cell_angle_alpha 80.96
_cell_angle_beta 80.96
_cell_angle_gamma 51.42
_symmetry_space_group_name_H-M 'P 1'
_symmetry_Int_Tables_number 1
loop_
_symmetry_equiv_pos_as_xyz
'x,y,z'
loop_
_atom_site_label
_atom_site_type_symbol
_atom_site_fract_x
_atom_site_fract_y
_atom_site_fract_z
Rh1 Rh 0.2604 0.2604 0.3385
Se1 Se 0.9895 0.9895 0.1092
Se2 Se 0.6979 0.6979 0.6689
Si1 Si 0.5521 0.5521 0.3834

=====

# 4
# SiRhSe2 (PBE-GGA, optimized geometry)
# - space group = R-3m (166)
# - uncorrected formation energy (eV/atom) = 0.102
# - calculated volume (Å³/cell) = 90.1
data_SiRhSe2
_chemical_formula_sum 'Si1 Rh1 Se2'
_cell_length_a 8.0770
_cell_length_b 8.0770
_cell_length_c 8.0770
_cell_angle_alpha 26.14
_cell_angle_beta 26.14
_cell_angle_gamma 26.14
_symmetry_space_group_name_H-M 'P 1'
_symmetry_Int_Tables_number 1
loop_
_symmetry_equiv_pos_as_xyz
'x,y,z'
loop_
_atom_site_label
_atom_site_type_symbol
_atom_site_fract_x
_atom_site_fract_y
_atom_site_fract_z
Si1 Si 0.0000 0.0000 0.0000
Rh1 Rh 0.5000 0.5000 0.5000
Se1 Se 0.8896 0.8896 0.8896
Se2 Se 0.1104 0.1104 0.1104

=====

# 5
# SiRhSe (PBE-GGA, optimized geometry)
# - space group = F-43m (216)
# - uncorrected formation energy (eV/atom) = -0.243
# - calculated volume (Å³/cell) = 52.4
data_SiRhSe
_chemical_formula_sum 'Si1 Rh1 Se1'
_cell_length_a 4.1996
_cell_length_b 4.1996
_cell_length_c 4.1996
_cell_angle_alpha 60.00
_cell_angle_beta 60.00
_cell_angle_gamma 60.00
_symmetry_space_group_name_H-M 'P 1'
_symmetry_Int_Tables_number 1
loop_
_symmetry_equiv_pos_as_xyz
'x,y,z'
loop_
_atom_site_label
_atom_site_type_symbol
_atom_site_fract_x
_atom_site_fract_y
_atom_site_fract_z
Rh1 Rh 0.7500 0.7500 0.7500
Se1 Se 0.0000 0.0000 0.0000
Si1 Si 0.5000 0.5000 0.5000

=====

# 6
# Si2Rh2Se (PBE-GGA, optimized geometry)
# - energy relative to the lowest polymorph listed for this composition (kJ/mol of formula units) = 51
# - space group = P4/mbm (127)
# - uncorrected formation energy (eV/atom) = -0.370
# - calculated volume (Å³/cell) = 147.7
data_Si2Rh2Se
_chemical_formula_sum 'Si4 Rh4 Se2'
_cell_length_a 7.2860
_cell_length_b 7.2860
_cell_length_c 2.7814
_cell_angle_alpha 90.00
_cell_angle_beta 90.00
_cell_angle_gamma 90.00
_symmetry_space_group_name_H-M 'P 1'
_symmetry_Int_Tables_number 1
loop_
_symmetry_equiv_pos_as_xyz
'x,y,z'
loop_
_atom_site_label
_atom_site_type_symbol
_atom_site_fract_x
_atom_site_fract_y
_atom_site_fract_z
Si1 Si 0.1455 0.6455 0.5000
Si2 Si 0.6455 0.8545 0.5000
Si3 Si 0.8545 0.3545 0.5000
Si4 Si 0.3545 0.1455 0.5000
Rh1 Rh 0.3562 0.8562 0.0000
Rh2 Rh 0.8562 0.6438 0.0000
Rh3 Rh 0.6438 0.1438 0.0000
Rh4 Rh 0.1438 0.3562 0.0000
Se1 Se 0.0000 0.0000 0.0000
Se2 Se 0.5000 0.5000 0.0000